Entry 1:
KTl2Si meta-GGA SCAN single point on PBEsol structure; SG = P2/m; offset from the most stable computed form = 0.51 eV/f.u.; final energy = -40.4234 eV/atom; formation energy from raw total energies = 341.9 meV/atom
1.0
3.230 0.000 0.000
0.000 6.006 0.028
0.000 -2.550 5.422
K Tl Si
1 2 1
Cartesian
1.615 -1.275 2.711
0.000 0.000 0.000
1.615 3.003 0.014
0.000 1.728 2.725

Entry 2:
Ba3NdIr2O9 meta-GGA SCAN single point on PBEsol structure; SG = C2/c; final energy = -26.3377 eV/atom; formation energy from raw total energies = -2303.6 meV/atom
1.0
-2.831 3.985 -3.333
-0.272 -5.739 -1.408
-11.882 -1.395 8.750
O Ba Ir Nd
18 6 4 2
Cartesian
-4.503 -1.295 -0.169
-1.884 -4.180 -1.054
-3.070 -3.162 1.345
-9.476 1.394 2.080
-11.914 0.012 2.664
-10.255 0.868 4.784
-13.099 1.031 5.063
-5.308 -1.862 2.531
-8.041 -0.441 3.521
-5.508 -4.544 1.929
-1.636 -1.509 -0.505
-3.276 -2.333 -2.552
-13.348 -1.641 4.514
-11.708 -0.816 6.561
-4.729 -4.018 -0.775
-9.676 -1.288 1.478
-6.942 -2.709 0.488
-10.480 -1.854 4.178
-3.143 0.595 -1.875
-11.840 -3.744 5.884
-8.233 -3.338 3.141
-3.250 -6.059 0.774
-11.734 2.909 3.235
-6.751 0.188 0.869
-11.846 -0.407 4.661
-5.057 -2.936 0.924
-9.927 -0.214 3.085
-3.137 -2.743 -0.652
-5.941 -0.698 4.375
0.000 0.000 0.000

Entry 3:
K7Hg31 meta-GGA SCAN single point on PBEsol structure; SG = P-6m2; final energy = -57.3708 eV/atom
1.0
-9.379 1.497 -3.852
-2.400 -10.135 1.906
-1.858 7.359 7.382
Hg K
31 7
Cartesian
-6.138 1.834 2.022
-3.357 0.536 -1.379
-3.220 0.782 8.144
-7.842 1.789 -0.364
-7.705 -4.008 -1.602
-10.017 -5.816 -0.295
-5.714 -0.462 6.616
-3.359 1.073 1.478
-6.676 3.965 4.160
-6.200 -5.912 4.334
-10.198 0.253 4.774
-8.286 -3.336 1.240
-4.386 5.144 5.561
-10.891 -2.354 3.178
-3.971 -6.781 2.188
-6.022 0.961 -2.473
-4.148 -4.575 -0.141
-7.371 1.030 4.712
-8.601 -0.462 1.955
-0.856 2.323 2.986
-2.564 3.553 7.622
-5.532 -3.775 2.371
-9.757 -5.345 2.873
-2.696 -1.292 6.063
-8.870 5.860 3.720
-8.888 -1.048 -1.192
-1.364 4.335 5.004
-2.842 -2.013 1.292
-5.043 -1.029 3.415
-1.532 -0.534 3.523
-4.845 -3.319 5.661
-5.789 -1.383 -0.078
-7.938 -2.784 4.611
-2.219 -4.304 3.732
-7.000 -6.499 0.884
-9.579 2.731 2.460
-3.877 1.821 4.802
0.000 0.000 0.000

Entry 4:
Hg2MoAu meta-GGA SCAN single point on PBEsol structure; SG = R3m; offset from the most stable computed form = 0.18 eV/f.u.; final energy = -59.7101 eV/atom
1.0
-0.007 1.696 2.398
-0.396 -1.204 2.650
9.526 -1.056 2.573
Hg Mo Au
2 1 1
Cartesian
6.690 -0.404 5.702
-0.303 0.479 5.058
4.461 -0.270 3.802
2.432 -0.160 1.919

Entry 5:
Tl2InMo meta-GGA SCAN single point on PBEsol structure; SG = Fm-3m; offset from the most stable computed form = 1.39 eV/f.u.; final energy = -52.4702 eV/atom
1.0
5.060 0.000 0.000
2.530 4.382 0.000
2.530 1.461 4.131
Tl Mo In
2 1 1
Cartesian
7.589 4.382 3.098
2.530 1.461 1.033
5.060 2.921 2.066
0.000 0.000 0.000

Entry 6:
Y2MnBiW meta-GGA SCAN single point on PBEsol structure; SG = P4/mmm; final energy = -43.0802 eV/atom
1.0
4.805 0.000 0.000
0.000 5.665 0.000
0.000 0.000 5.665
W Y Bi Mn
1 2 1 1
Cartesian
2.403 2.833 2.833
0.000 2.833 0.000
0.000 0.000 2.833
0.000 0.000 0.000
2.403 0.000 0.000

Entry 7:
Sr2VAs2O9 meta-GGA SCAN single point on PBEsol structure; SG = Cc; final energy = -13.7028 eV/atom; formation energy from raw total energies = -2381.3 meV/atom
1.0
-3.727 5.599 -1.446
-3.565 -6.253 -0.196
1.800 1.133 8.699
O Sr As V
18 4 4 2
Cartesian
-2.435 -1.303 4.066
-0.518 1.765 3.588
0.538 -0.658 8.238
-5.055 -1.278 3.540
-3.098 1.772 2.892
-2.187 -0.583 7.654
-0.573 3.797 6.183
-4.181 0.282 5.704
-5.267 -0.097 1.120
-1.872 -4.106 4.776
-0.300 0.595 5.931
-5.976 1.138 -1.230
-0.573 -2.214 6.141
-3.279 1.075 -0.530
-4.989 2.709 0.885
-1.251 0.189 1.375
-3.553 4.504 2.305
-4.856 -3.328 0.883
-2.509 -3.790 7.428
-3.186 -1.492 1.498
-2.944 4.276 -0.362
-2.329 2.038 5.547
-4.863 1.200 0.032
-0.630 -0.715 7.025
-3.957 -1.184 4.874
-1.522 1.658 2.187
-4.494 3.204 2.723
-2.590 -5.503 4.245

Entry 8:
MgScBe2 meta-GGA SCAN single point on PBEsol structure; SG = P4/mmm; final energy = -6.8532 eV/atom
1.0
-2.461 1.352 1.468
-2.436 -0.556 -3.571
-1.266 -3.902 1.471
Mg Be Sc
1 2 1
Cartesian
-3.081 -1.553 -0.316
-1.218 -0.278 -1.785
-0.633 -1.951 0.736
-1.230 0.676 0.734